[1]
A plane-wave DFT calculation with PBE was carried out for a relaxed structure of AcPrYTm.

Lattice parameters (Å, degrees): 3.959 6.007 12.083 90.00 90.00 90.00
Space group Imm2 (No. 44)
One atom of each set of equivalent atoms:
Ac 0.000 0.000 0.000 x2
Pr 0.000 0.500 0.770 x2
Y 0.000 0.500 0.240 x2
Tm 0.000 0.000 0.509 x2

Values from the calculation:
- Theoretical density: 7.23 g cm⁻³
- Relative energy among the computed polymorphs: 0 meV/atom

---

[2]
A plane-wave DFT calculation with PBE was carried out for a relaxed structure of AcPr2YTm.

Lattice parameters (Å, degrees): 6.461 5.940 9.916 90.00 108.70 90.00
Space group P2_1/m (No. 11)
One atom of each set of equivalent atoms:
Ac 0.135 0.250 0.105 x2
Pr 0.265 0.750 0.698 x2
Pr 0.337 0.250 0.501 x2
Y 0.476 0.750 0.105 x2
Tm 0.065 0.750 0.307 x2

Values from the calculation:
- Electronic total energy: -48.79 eV for the cell shown
- Theoretical density: 7.06 g cm⁻³

---

[3]
A plane-wave DFT calculation with PBE was carried out for a relaxed structure of AcPrYTm.

Lattice parameters (Å, degrees): 8.319 8.319 8.319 90.00 90.00 90.00
Space group F-43m (No. 216)
One atom of each set of equivalent atoms:
Ac 0.000 0.000 0.000 x4
Pr 0.250 0.250 0.750 x4
Y 0.250 0.250 0.250 x4
Tm 0.000 0.000 0.500 x4

Values from the calculation:
- Theoretical density: 7.22 g cm⁻³
- Relative energy among the computed polymorphs: 61 meV/atom

---

[4]
A plane-wave DFT calculation with PBE was carried out for a relaxed structure of AcPrY2Tm.

Lattice parameters (Å, degrees): 6.495 17.735 6.499 90.00 90.00 90.00
Space group Cmcm (No. 63)
One atom of each set of equivalent atoms:
Ac 0.000 0.159 0.250 x4
Pr 0.000 0.346 0.250 x4
Y 0.249 0.500 0.000 x8
Tm 0.000 0.247 0.750 x4

Values from the calculation:
- Electronic total energy: -97.20 eV for the cell shown
- Theoretical density: 6.34 g cm⁻³